# 1
Computed, not measured: crystalline NaIn2Se2 at its relaxed geometry at the PBE-GGA level of DFT.

Structure (CIF):
```
data_NaIn2Se2
_chemical_formula_sum 'Na2 In4 Se4'
_cell_length_a 4.3158
_cell_length_b 4.3158
_cell_length_c 14.8303
_cell_angle_alpha 90.00
_cell_angle_beta 90.00
_cell_angle_gamma 90.00
_symmetry_space_group_name_H-M 'P 1'
_symmetry_Int_Tables_number 1
loop_
_symmetry_equiv_pos_as_xyz
'x,y,z'
loop_
_atom_site_label
_atom_site_type_symbol
_atom_site_fract_x
_atom_site_fract_y
_atom_site_fract_z
Na1 Na 0.0000 0.0000 0.0000
Na2 Na 0.5000 0.5000 0.5000
In1 In 0.0000 0.5000 0.2500
In2 In 0.0000 0.5000 0.7500
In3 In 0.5000 0.0000 0.2500
In4 In 0.5000 0.0000 0.7500
Se1 Se 0.0000 0.0000 0.4140
Se2 Se 0.0000 0.0000 0.5860
Se3 Se 0.5000 0.5000 0.0860
Se4 Se 0.5000 0.5000 0.9140
```

Values from the calculation:
Formation energy from raw total energies: -348 meV/atom
V: 27.623 Å³ per atom
Offset from the most stable computed form: 14.6 kJ per mole of atoms

***

# 2
Computed, not measured: crystalline YErRh at its relaxed geometry at the PBE-GGA level of DFT.

Structure (CIF):
```
data_YErRh
_chemical_formula_sum 'Y2 Er2 Rh2'
_cell_length_a 4.7913
_cell_length_b 4.7919
_cell_length_c 6.7807
_cell_angle_alpha 90.00
_cell_angle_beta 90.01
_cell_angle_gamma 90.00
_symmetry_space_group_name_H-M 'P 1'
_symmetry_Int_Tables_number 1
loop_
_symmetry_equiv_pos_as_xyz
'x,y,z'
loop_
_atom_site_label
_atom_site_type_symbol
_atom_site_fract_x
_atom_site_fract_y
_atom_site_fract_z
Y1 Y 0.0015 0.0000 0.2500
Y2 Y 0.9985 0.0000 0.7500
Er1 Er 0.4986 0.5000 0.7500
Er2 Er 0.5014 0.5000 0.2500
Rh1 Rh 0.0000 0.5000 0.5000
Rh2 Rh 0.5000 0.0000 0.0000
```

Values from the calculation:
V: 25.947 Å³ per atom
E_form: -0.596 eV per atom
Offset from the most stable computed form: 0.0 kJ per mole of atoms

***

# 3
Computed, not measured: crystalline HfMgN2 at its relaxed geometry at the PBE-GGA level of DFT.

Structure (CIF):
```
data_HfMgN2
_chemical_formula_sum 'Hf3 Mg3 N6'
_cell_length_a 3.1766
_cell_length_b 3.1766
_cell_length_c 16.1927
_cell_angle_alpha 90.00
_cell_angle_beta 90.00
_cell_angle_gamma 120.00
_symmetry_space_group_name_H-M 'P 1'
_symmetry_Int_Tables_number 1
loop_
_symmetry_equiv_pos_as_xyz
'x,y,z'
loop_
_atom_site_label
_atom_site_type_symbol
_atom_site_fract_x
_atom_site_fract_y
_atom_site_fract_z
Hf1 Hf 0.0000 0.0000 0.0000
Hf2 Hf 0.3333 0.6667 0.6667
Hf3 Hf 0.6667 0.3333 0.3333
Mg1 Mg 0.0000 0.0000 0.8255
Mg2 Mg 0.3333 0.6667 0.4922
Mg3 Mg 0.6667 0.3333 0.1588
N1 N 0.0000 0.0000 0.4112
N2 N 0.0000 0.0000 0.5924
N3 N 0.3333 0.6667 0.0779
N4 N 0.3333 0.6667 0.2591
N5 N 0.6667 0.3333 0.7445
N6 N 0.6667 0.3333 0.9258
```

Values from the calculation:
Formation energy from raw total energies: -1280 meV/atom
V: 11.792 Å³ per atom

***

# 4
Computed, not measured: crystalline Tb6Ge2SeS3 at its relaxed geometry at the PBE-GGA level of DFT.

Structure (CIF):
```
data_Tb6Ge2SeS3
_chemical_formula_sum 'Tb6 Ge2 Se1 S3'
_cell_length_a 9.0356
_cell_length_b 9.0356
_cell_length_c 8.0985
_cell_angle_alpha 102.35
_cell_angle_beta 102.35
_cell_angle_gamma 25.96
_symmetry_space_group_name_H-M 'P 1'
_symmetry_Int_Tables_number 1
loop_
_symmetry_equiv_pos_as_xyz
'x,y,z'
loop_
_atom_site_label
_atom_site_type_symbol
_atom_site_fract_x
_atom_site_fract_y
_atom_site_fract_z
Tb1 Tb 0.0021 0.0021 0.2619
Tb2 Tb 0.3303 0.3303 0.9114
Tb3 Tb 0.3334 0.3334 0.4166
Tb4 Tb 0.6666 0.6666 0.5834
Tb5 Tb 0.6697 0.6697 0.0886
Tb6 Tb 0.9979 0.9979 0.7381
Ge1 Ge 0.1663 0.1663 0.3322
Ge2 Ge 0.8337 0.8337 0.6678
Se1 Se 0.5000 0.5000 0.0000
S1 S 0.1646 0.1646 0.8353
S2 S 0.5000 0.5000 0.5000
S3 S 0.8354 0.8354 0.1647
```

Values from the calculation:
Formation energy from raw total energies: -1642 meV/atom
V: 23.530 Å³ per atom

***

# 5
Computed, not measured: crystalline Ca2MnNi at its relaxed geometry at the PBE-GGA level of DFT.

Structure (CIF):
```
data_Ca2MnNi
_chemical_formula_sum 'Ca8 Mn4 Ni4'
_cell_length_a 6.9592
_cell_length_b 6.9592
_cell_length_c 6.9592
_cell_angle_alpha 90.00
_cell_angle_beta 90.00
_cell_angle_gamma 90.00
_symmetry_space_group_name_H-M 'P 1'
_symmetry_Int_Tables_number 1
loop_
_symmetry_equiv_pos_as_xyz
'x,y,z'
loop_
_atom_site_label
_atom_site_type_symbol
_atom_site_fract_x
_atom_site_fract_y
_atom_site_fract_z
Ca1 Ca 0.0000 0.0000 0.0000
Ca2 Ca 0.0000 0.5000 0.5000
Ca3 Ca 0.2500 0.2500 0.2500
Ca4 Ca 0.2500 0.7500 0.7500
Ca5 Ca 0.5000 0.0000 0.5000
Ca6 Ca 0.5000 0.5000 0.0000
Ca7 Ca 0.7500 0.2500 0.7500
Ca8 Ca 0.7500 0.7500 0.2500
Mn1 Mn 0.2500 0.2500 0.7500
Mn2 Mn 0.2500 0.7500 0.2500
Mn3 Mn 0.7500 0.2500 0.2500
Mn4 Mn 0.7500 0.7500 0.7500
Ni1 Ni 0.0000 0.0000 0.5000
Ni2 Ni 0.0000 0.5000 0.0000
Ni3 Ni 0.5000 0.0000 0.0000
Ni4 Ni 0.5000 0.5000 0.5000
```

Values from the calculation:
V: 21.064 Å³ per atom
E_form: 0.399 eV per atom

***

# 6
Computed, not measured: crystalline Rb2PmU2Se6 at its relaxed geometry at the PBE-GGA level of DFT.

Structure (CIF):
```
data_Rb2PmU2Se6
_chemical_formula_sum 'Rb2 Pm1 U2 Se6'
_cell_length_a 7.3331
_cell_length_b 7.3331
_cell_length_c 8.5455
_cell_angle_alpha 98.03
_cell_angle_beta 98.03
_cell_angle_gamma 120.19
_symmetry_space_group_name_H-M 'P 1'
_symmetry_Int_Tables_number 1
loop_
_symmetry_equiv_pos_as_xyz
'x,y,z'
loop_
_atom_site_label
_atom_site_type_symbol
_atom_site_fract_x
_atom_site_fract_y
_atom_site_fract_z
Rb1 Rb 0.1648 0.8352 0.0000
Rb2 Rb 0.8352 0.1648 0.0000
Pm1 Pm 0.0000 0.0000 0.5000
U1 U 0.3341 0.6659 0.5000
U2 U 0.6659 0.3341 0.5000
Se1 Se 0.0618 0.4040 0.6925
Se2 Se 0.2777 0.2777 0.3064
Se3 Se 0.4040 0.0618 0.6925
Se4 Se 0.5960 0.9382 0.3075
Se5 Se 0.7223 0.7223 0.6936
Se6 Se 0.9382 0.5960 0.3075
```

Values from the calculation:
Formation energy from raw total energies: -1417 meV/atom
V: 34.665 Å³ per atom

***

# 7
Computed, not measured: crystalline TmSc2S3 at its relaxed geometry at the PBE-GGA level of DFT.

Structure (CIF):
```
data_TmSc2S3
_chemical_formula_sum 'Tm2 Sc4 S6'
_cell_length_a 3.7538
_cell_length_b 5.2964
_cell_length_c 11.2166
_cell_angle_alpha 90.00
_cell_angle_beta 90.00
_cell_angle_gamma 90.00
_symmetry_space_group_name_H-M 'P 1'
_symmetry_Int_Tables_number 1
loop_
_symmetry_equiv_pos_as_xyz
'x,y,z'
loop_
_atom_site_label
_atom_site_type_symbol
_atom_site_fract_x
_atom_site_fract_y
_atom_site_fract_z
Tm1 Tm 0.0000 0.0000 0.0000
Tm2 Tm 0.5000 0.5000 0.5000
Sc1 Sc 0.0000 0.0000 0.3360
Sc2 Sc 0.0000 0.0000 0.6640
Sc3 Sc 0.5000 0.5000 0.1640
Sc4 Sc 0.5000 0.5000 0.8360
S1 S 0.0000 0.5000 0.0000
S2 S 0.0000 0.5000 0.3277
S3 S 0.0000 0.5000 0.6723
S4 S 0.5000 0.0000 0.1723
S5 S 0.5000 0.0000 0.5000
S6 S 0.5000 0.0000 0.8277
```

Values from the calculation:
Formation energy from raw total energies: -1884 meV/atom
V: 18.583 Å³ per atom
Offset from the most stable computed form: 0.0 kJ per mole of atoms

***

# 8
Computed, not measured: crystalline PaAl2Ge3 at its relaxed geometry at the PBE-GGA level of DFT.

Structure (CIF):
```
data_PaAl2Ge3
_chemical_formula_sum 'Pa2 Al4 Ge6'
_cell_length_a 4.5027
_cell_length_b 13.2487
_cell_length_c 3.8096
_cell_angle_alpha 90.00
_cell_angle_beta 90.00
_cell_angle_gamma 90.00
_symmetry_space_group_name_H-M 'P 1'
_symmetry_Int_Tables_number 1
loop_
_symmetry_equiv_pos_as_xyz
'x,y,z'
loop_
_atom_site_label
_atom_site_type_symbol
_atom_site_fract_x
_atom_site_fract_y
_atom_site_fract_z
Pa1 Pa 0.0000 0.0000 0.0000
Pa2 Pa 0.5000 0.5000 0.0000
Al1 Al 0.0000 0.3293 0.0000
Al2 Al 0.0000 0.6707 0.0000
Al3 Al 0.5000 0.1707 0.0000
Al4 Al 0.5000 0.8293 0.0000
Ge1 Ge 0.0000 0.1795 0.5000
Ge2 Ge 0.0000 0.5000 0.5000
Ge3 Ge 0.0000 0.8205 0.5000
Ge4 Ge 0.5000 0.0000 0.5000
Ge5 Ge 0.5000 0.3205 0.5000
Ge6 Ge 0.5000 0.6795 0.5000
```

Values from the calculation:
V: 18.938 Å³ per atom
E_form: -0.187 eV per atom

***

# 9
Computed, not measured: crystalline ErZr2Ru at its relaxed geometry at the PBE-GGA level of DFT.

Structure (CIF):
```
data_ErZr2Ru
_chemical_formula_sum 'Er3 Zr6 Ru3'
_cell_length_a 3.2687
_cell_length_b 3.2687
_cell_length_c 30.4009
_cell_angle_alpha 90.00
_cell_angle_beta 90.00
_cell_angle_gamma 120.00
_symmetry_space_group_name_H-M 'P 1'
_symmetry_Int_Tables_number 1
loop_
_symmetry_equiv_pos_as_xyz
'x,y,z'
loop_
_atom_site_label
_atom_site_type_symbol
_atom_site_fract_x
_atom_site_fract_y
_atom_site_fract_z
Er1 Er 0.0000 0.0000 0.0000
Er2 Er 0.3333 0.6667 0.6667
Er3 Er 0.6667 0.3333 0.3333
Zr1 Zr 0.0000 0.0000 0.1036
Zr2 Zr 0.0000 0.0000 0.8964
Zr3 Zr 0.3333 0.6667 0.5631
Zr4 Zr 0.3333 0.6667 0.7703
Zr5 Zr 0.6667 0.3333 0.2297
Zr6 Zr 0.6667 0.3333 0.4369
Ru1 Ru 0.0000 0.0000 0.5000
Ru2 Ru 0.3333 0.6667 0.1667
Ru3 Ru 0.6667 0.3333 0.8333
```

Values from the calculation:
V: 23.442 Å³ per atom
E_form: 0.139 eV per atom
Offset from the most stable computed form: 30.5 kJ per mole of atoms